1.
VASP calculation (PBE) on crystalline PmPr2Ho4Th at its relaxed geometry.

Summary:
**Energy relative to the elements**: 0.0302 eV per atom
**Total magnetic moment**: 0.000 μB/atom
**Calculated density**: 8.3 Mg/m³

a = 5.1330 Å, b = 5.1204 Å, c = 11.2201 Å
α = 62.89°, β = 90.00°, γ = 90.00°
Closest atoms and distances in Å follow each position.
Sites, in units of the cell vectors:
Pm 0.5000 0.5000 0.0000  8 Ho 3.61, 4 Pr 3.63
Pr 0.0000 0.0000 0.0000  8 Ho 3.61, 4 Pm 3.63
Pr 0.5000 0.0000 0.5000  8 Ho 3.54-3.55, 4 Th 3.63
Ho 0.0000 0.7546 0.7453  2 Th 3.54-3.55, 4 Pr 3.55-3.61, 2 Pm 3.61, 4 Ho 3.62-3.63
Ho 0.0000 0.2454 0.2547  2 Th 3.54-3.55, 4 Pr 3.55-3.61, 2 Pm 3.61, 4 Ho 3.62-3.63
Ho 0.5000 0.7451 0.2548  4 Pr 3.54-3.61, 2 Th 3.55, 2 Pm 3.61, 4 Ho 3.62-3.63
Ho 0.5000 0.2549 0.7452  4 Pr 3.54-3.61, 2 Th 3.55, 2 Pm 3.61, 4 Ho 3.62-3.63
Th 0.0000 0.5000 0.5000  8 Ho 3.54-3.55, 4 Pr 3.63



2.
VASP calculation (PBE) on crystalline Pm6PrHo2Th at its relaxed geometry.

Summary:
**Energy relative to the elements**: 0.1430 eV per atom
**Total magnetic moment**: 0.000 μB/atom
**Calculated density**: 7.7 Mg/m³

a = 9.7535 Å, b = 8.8612 Å, c = 8.8612 Å
α = 116.00°, β = 94.06°, γ = 94.06°
Closest atoms and distances in Å follow each position.
Sites, in units of the cell vectors:
Pm 0.0589 0.1074 0.7600  7 Pm 3.46-3.87, 2 Ho 3.49-3.78, 2 Th 3.62-3.81
Pm 0.4411 0.2400 0.8926  7 Pm 3.46-3.87, 2 Ho 3.49-3.78, 2 Th 3.62-3.81
Pm 0.9411 0.8926 0.2400  7 Pm 3.46-3.87, 2 Ho 3.49-3.78, 2 Th 3.62-3.81
Pm 0.5589 0.7600 0.1074  7 Pm 3.46-3.87, 2 Ho 3.49-3.78, 2 Th 3.62-3.81
Pm 0.3161 0.9821 0.4229  2 Pm 3.30-3.69, 1 Th 3.43, 1 Ho 3.47, 1 Pr 3.49
Pm 0.1839 0.5771 0.0179  2 Pm 3.30-3.69, 1 Th 3.43, 1 Ho 3.47, 1 Pr 3.49
Pm 0.6839 0.0179 0.5771  2 Pm 3.30-3.69, 1 Th 3.43, 1 Ho 3.47, 1 Pr 3.49
Pm 0.8161 0.4229 0.9821  2 Pm 3.30-3.69, 1 Th 3.43, 1 Ho 3.47, 1 Pr 3.49
Pm 0.1189 0.7021 0.4863  3 Pm 3.30-3.46, 3 Ho 3.33-3.50, 2 Pr 3.48-3.59
Pm 0.3811 0.5137 0.2979  3 Pm 3.30-3.46, 3 Ho 3.33-3.50, 2 Pr 3.48-3.59
Pm 0.8811 0.2979 0.5137  3 Pm 3.30-3.46, 3 Ho 3.33-3.50, 2 Pr 3.48-3.59
Pm 0.6189 0.4863 0.7021  3 Pm 3.30-3.46, 3 Ho 3.33-3.50, 2 Pr 3.48-3.59
Pr 0.2500 0.4041 0.5959  6 Pm 3.48-3.59, 2 Ho 3.59
Pr 0.7500 0.5959 0.4041  6 Pm 3.48-3.59, 2 Ho 3.59
Ho 0.4486 0.8030 0.7117  5 Pm 3.33-3.50, 2 Th 3.39-3.48, 1 Pr 3.59
Ho 0.0514 0.2883 0.1970  5 Pm 3.33-3.50, 2 Th 3.39-3.48, 1 Pr 3.59
Ho 0.5514 0.1970 0.2883  5 Pm 3.33-3.50, 2 Th 3.39-3.48, 1 Pr 3.59
Ho 0.9486 0.7117 0.8030  5 Pm 3.33-3.50, 2 Th 3.39-3.48, 1 Pr 3.59
Th 0.2500 0.9683 0.0317  4 Ho 3.39-3.48, 4 Pm 3.43-3.62
Th 0.7500 0.0317 0.9683  4 Ho 3.39-3.48, 4 Pm 3.43-3.62



3.
VASP calculation (PBE) on crystalline PmPrHo2Tl4 at its relaxed geometry.

Summary:
**Energy relative to the elements**: -0.3544 eV per atom
**Total magnetic moment**: 0.000 μB/atom
**Calculated density**: 10.5 Mg/m³

a = 5.4366 Å, b = 5.4366 Å, c = 9.4340 Å
α = 73.25°, β = 73.25°, γ = 60.00°
Closest atoms and distances in Å follow each position.
Sites, in units of the cell vectors:
Pm 0.5000 0.5000 0.5000  8 Tl 3.32
Pr 0.0000 0.0000 0.0000  8 Tl 3.34-3.35
Ho 0.7501 0.7501 0.7497  8 Tl 3.32-3.36
Ho 0.2499 0.2499 0.2503  8 Tl 3.32-3.36
Tl 0.3757 0.3757 0.8728  1 Pm 3.32, 4 Ho 3.32-3.36, 3 Pr 3.34
Tl 0.8743 0.8743 0.3770  4 Ho 3.32-3.34, 3 Pm 3.32, 1 Pr 3.35
Tl 0.1257 0.1257 0.6230  4 Ho 3.32-3.34, 3 Pm 3.32, 1 Pr 3.35
Tl 0.6243 0.6243 0.1272  1 Pm 3.32, 4 Ho 3.32-3.36, 3 Pr 3.34



4.
VASP calculation (PBE) on crystalline Pm6Pr2Ho3Tl at its relaxed geometry.

Summary:
**Energy relative to the elements**: -0.0299 eV per atom
**Total magnetic moment**: 0.000 μB/atom
**Calculated density**: 7.8 Mg/m³

a = 6.2101 Å, b = 6.2101 Å, c = 11.9195 Å
α = 94.99°, β = 94.99°, γ = 120.08°
Closest atoms and distances in Å follow each position.
Sites, in units of the cell vectors:
Pm 0.9161 0.5898 0.7476  6 Pm 3.51-3.63, 3 Ho 3.55-3.59, 1 Tl 3.59, 2 Pr 3.63
Pm 0.7579 0.7579 0.2533  6 Pm 3.51-3.63, 3 Ho 3.55-3.58, 1 Tl 3.60, 2 Pr 3.63
Pm 0.0839 0.4102 0.2524  6 Pm 3.51-3.63, 3 Ho 3.55-3.59, 1 Tl 3.59, 2 Pr 3.63
Pm 0.5898 0.9161 0.7476  6 Pm 3.51-3.63, 3 Ho 3.55-3.59, 1 Tl 3.59, 2 Pr 3.63
Pm 0.2421 0.2421 0.7467  6 Pm 3.51-3.63, 3 Ho 3.55-3.58, 1 Tl 3.60, 2 Pr 3.63
Pm 0.4102 0.0839 0.2524  6 Pm 3.51-3.63, 3 Ho 3.55-3.59, 1 Tl 3.59, 2 Pr 3.63
Pr 0.3337 0.6663 0.0000  3 Pr 3.58-3.59, 3 Tl 3.58-3.59, 6 Pm 3.63
Pr 0.6663 0.3337 0.0000  3 Pr 3.58-3.59, 3 Tl 3.58-3.59, 6 Pm 3.63
Ho 0.1671 0.8329 0.5000  6 Pm 3.55-3.59, 6 Ho 3.58-3.60
Ho 0.8329 0.1671 0.5000  6 Pm 3.55-3.59, 6 Ho 3.58-3.60
Ho 0.5000 0.5000 0.5000  6 Pm 3.55-3.58, 6 Ho 3.58
Tl 0.0000 0.0000 0.0000  6 Pr 3.58-3.59, 6 Pm 3.59-3.60



5.
VASP calculation (PBE) on crystalline PmPr2HoTl2 at its relaxed geometry.

Summary:
**Energy relative to the elements**: -0.2704 eV per atom
**Total magnetic moment**: 0.000 μB/atom
**Calculated density**: 8.9 Mg/m³

a = 5.2082 Å, b = 6.9792 Å, c = 10.2766 Å
α = 90.00°, β = 90.00°, γ = 90.00°
Closest atoms and distances in Å follow each position.
Sites, in units of the cell vectors:
Pm 0.0000 0.9603 0.4558  5 Tl 3.28-3.54, 2 Ho 3.58, 2 Pm 3.61
Pm 0.0000 0.4603 0.5442  5 Tl 3.28-3.54, 2 Ho 3.58, 2 Pm 3.61
Pr 0.5000 0.0586 0.0466  5 Tl 3.34-3.67, 4 Pr 3.52-3.62
Pr 0.0000 0.3309 0.1840  4 Tl 3.28-3.39, 2 Pr 3.52
Pr 0.5000 0.5586 0.9534  5 Tl 3.34-3.67, 4 Pr 3.52-3.62
Pr 0.0000 0.8309 0.8160  4 Tl 3.28-3.39, 2 Pr 3.52
Ho 0.5000 0.1771 0.6867  4 Tl 3.21-3.24, 2 Pm 3.58
Ho 0.5000 0.6771 0.3133  4 Tl 3.21-3.24, 2 Pm 3.58
Tl 0.0000 0.2971 0.8547  2 Ho 3.23, 4 Pr 3.28-3.39, 1 Pm 3.39
Tl 0.5000 0.2217 0.3759  2 Ho 3.21-3.24, 4 Pm 3.28-3.54, 3 Pr 3.35-3.57
Tl 0.0000 0.7971 0.1453  2 Ho 3.23, 4 Pr 3.28-3.39, 1 Pm 3.39
Tl 0.5000 0.7217 0.6241  2 Ho 3.21-3.24, 4 Pm 3.28-3.54, 3 Pr 3.35-3.57



6.
VASP calculation (PBE) on crystalline PmPrHoTl at its relaxed geometry.

Summary:
**Energy relative to the elements**: -0.1929 eV per atom
**Total magnetic moment**: 0.000 μB/atom
**Calculated density**: 9.0 Mg/m³
**Distance to the lowest polymorph of the same formula**: 0.000 eV per atom

a = 5.0262 Å, b = 4.8916 Å, c = 4.9190 Å
α = 90.00°, β = 90.00°, γ = 90.00°
Closest atoms and distances in Å follow each position.
Sites, in units of the cell vectors:
Pm 0.5000 0.5000 0.0000  4 Pr 3.47, 4 Tl 3.51, 4 Ho 3.52
Pr 0.5000 0.0000 0.5000  4 Pm 3.47, 4 Ho 3.51, 4 Tl 3.52
Ho 0.0000 0.5000 0.5000  4 Tl 3.47, 4 Pr 3.51, 4 Pm 3.52
Tl 0.0000 0.0000 0.0000  4 Ho 3.47, 4 Pm 3.51, 4 Pr 3.52



7.
VASP calculation (PBE) on crystalline Pm2PrHoTl2 at its relaxed geometry.

Summary:
**Energy relative to the elements**: -0.2696 eV per atom
**Total magnetic moment**: 0.000 μB/atom
**Calculated density**: 9.0 Mg/m³

a = 5.2069 Å, b = 6.9470 Å, c = 10.2261 Å
α = 90.00°, β = 90.00°, γ = 90.00°
Closest atoms and distances in Å follow each position.
Sites, in units of the cell vectors:
Pm 0.5000 0.0552 0.0465  5 Tl 3.30-3.64, 4 Pm 3.53-3.60
Pm 0.0000 0.3343 0.1823  4 Tl 3.25-3.32, 2 Pm 3.53
Pm 0.5000 0.5552 0.9535  5 Tl 3.30-3.64, 4 Pm 3.53-3.60
Pm 0.0000 0.8343 0.8177  4 Tl 3.25-3.32, 2 Pm 3.53
Pr 0.0000 0.9580 0.4554  5 Tl 3.31-3.56, 2 Ho 3.57, 2 Pr 3.59
Pr 0.0000 0.4580 0.5446  5 Tl 3.31-3.56, 2 Ho 3.57, 2 Pr 3.59
Ho 0.5000 0.1777 0.6898  4 Tl 3.22-3.29, 2 Pr 3.57
Ho 0.5000 0.6777 0.3102  4 Tl 3.22-3.29, 2 Pr 3.57
Tl 0.0000 0.2975 0.8607  2 Ho 3.24, 4 Pm 3.25-3.30, 1 Pr 3.42
Tl 0.5000 0.2230 0.3697  2 Ho 3.22-3.29, 4 Pr 3.31-3.56, 3 Pm 3.32-3.51
Tl 0.0000 0.7975 0.1393  2 Ho 3.24, 4 Pm 3.25-3.30, 1 Pr 3.42
Tl 0.5000 0.7230 0.6303  2 Ho 3.22-3.29, 4 Pr 3.31-3.56, 3 Pm 3.32-3.51



8.
VASP calculation (PBE) on crystalline PmPrHoTl at its relaxed geometry.

Summary:
**Energy relative to the elements**: -0.0674 eV per atom
**Total magnetic moment**: 0.284 μB/atom
**Calculated density**: 8.8 Mg/m³
**Distance to the lowest polymorph of the same formula**: 0.126 eV per atom

a = 5.5861 Å, b = 5.5861 Å, c = 5.5861 Å
α = 60.00°, β = 60.00°, γ = 60.00°
Closest atoms and distances in Å follow each position.
Sites, in units of the cell vectors:
Pr 0.7500 0.7500 0.7500  4 Ho 3.42, 4 Tl 3.42
Tl 0.0000 0.0000 0.0000  4 Pm 3.42, 4 Pr 3.42
Ho 0.5000 0.5000 0.5000  4 Pr 3.42, 4 Pm 3.42
Pm 0.2500 0.2500 0.2500  4 Tl 3.42, 4 Ho 3.42



9.
VASP calculation (PBE) on crystalline Pm6PrHo2Tm3 at its relaxed geometry.

Summary:
**Energy relative to the elements**: 0.0168 eV per atom
**Total magnetic moment**: 0.000 μB/atom
**Calculated density**: 7.8 Mg/m³

a = 6.2360 Å, b = 6.2360 Å, c = 11.8344 Å
α = 95.02°, β = 95.02°, γ = 119.99°
Closest atoms and distances in Å follow each position.
Sites, in units of the cell vectors:
Pm 0.9152 0.5809 0.7470  3 Tm 3.54-3.55, 6 Pm 3.60-3.61, 2 Ho 3.60-3.61, 1 Pr 3.61
Pm 0.7507 0.7507 0.2530  3 Tm 3.55, 6 Pm 3.60-3.61, 2 Ho 3.61, 1 Pr 3.61
Pm 0.0848 0.4191 0.2530  3 Tm 3.54-3.55, 6 Pm 3.60-3.61, 2 Ho 3.60-3.61, 1 Pr 3.61
Pm 0.5809 0.9152 0.7470  3 Tm 3.54-3.55, 6 Pm 3.60-3.61, 2 Ho 3.60-3.61, 1 Pr 3.61
Pm 0.2493 0.2493 0.7470  3 Tm 3.55, 6 Pm 3.60-3.61, 2 Ho 3.61, 1 Pr 3.61
Pm 0.4191 0.0848 0.2530  3 Tm 3.54-3.55, 6 Pm 3.60-3.61, 2 Ho 3.60-3.61, 1 Pr 3.61
Pr 0.0000 0.0000 0.0000  6 Ho 3.60, 6 Pm 3.61
Ho 0.3334 0.6666 0.0000  3 Ho 3.60, 3 Pr 3.60, 6 Pm 3.60-3.61
Ho 0.6666 0.3334 0.0000  3 Ho 3.60, 3 Pr 3.60, 6 Pm 3.60-3.61
Tm 0.1669 0.8331 0.5000  6 Pm 3.54-3.55, 6 Tm 3.60-3.61
Tm 0.8331 0.1669 0.5000  6 Pm 3.54-3.55, 6 Tm 3.60-3.61
Tm 0.5000 0.5000 0.5000  6 Pm 3.55, 6 Tm 3.60



10.
VASP calculation (PBE) on crystalline PmPrHoTm3 at its relaxed geometry.

Summary:
**Energy relative to the elements**: 0.0272 eV per atom
**Total magnetic moment**: 0.000 μB/atom
**Calculated density**: 8.3 Mg/m³

a = 5.0384 Å, b = 7.9541 Å, c = 10.0795 Å
α = 90.00°, β = 90.00°, γ = 108.46°
Closest atoms and distances in Å follow each position.
Sites, in units of the cell vectors:
Pm 0.5003 0.0005 0.7500  4 Pr 3.56, 6 Tm 3.58-3.59, 2 Ho 3.59
Pm 0.4997 0.9995 0.2500  4 Pr 3.56, 6 Tm 3.58-3.59, 2 Ho 3.59
Pr 0.0000 0.0000 0.5000  4 Pm 3.56, 6 Tm 3.58-3.59, 2 Ho 3.59
Pr 0.0000 0.0000 0.0000  4 Pm 3.56, 6 Tm 3.58-3.59, 2 Ho 3.59
Ho 0.8310 0.6620 0.7500  8 Tm 3.51-3.56, 2 Pr 3.59, 2 Pm 3.59
Ho 0.1690 0.3380 0.2500  8 Tm 3.51-3.56, 2 Pr 3.59, 2 Pm 3.59
Tm 0.6690 0.3381 0.4998  5 Tm 3.51-3.56, 3 Ho 3.51-3.56, 2 Pm 3.58-3.59, 2 Pr 3.59
Tm 0.3310 0.6619 0.5002  5 Tm 3.51-3.56, 3 Ho 3.51-3.56, 2 Pm 3.58-3.59, 2 Pr 3.59
Tm 0.3310 0.6619 0.9998  5 Tm 3.51-3.56, 3 Ho 3.51-3.56, 2 Pm 3.58-3.59, 2 Pr 3.59
Tm 0.6690 0.3381 0.0002  5 Tm 3.51-3.56, 3 Ho 3.51-3.56, 2 Pm 3.58-3.59, 2 Pr 3.59
Tm 0.1686 0.3371 0.7500  6 Tm 3.51-3.56, 2 Ho 3.51, 2 Pm 3.58, 2 Pr 3.58
Tm 0.8314 0.6629 0.2500  6 Tm 3.51-3.56, 2 Ho 3.51, 2 Pm 3.58, 2 Pr 3.58